[1]
# Be2HgCl

A crystal of Be2HgCl relaxed with PBEsol (SCAN, Alexandria via LeMat-Bulk).

E_form (uncorrected) in meV/atom: 1040
Symmetry: F-43m, No. 216
Energy above the lowest structure with this stoichiometry in meV per atom: 680
Calculated volume in Å³ per cell: 72

Cell: 4.665 4.665 4.665 Å, 60.00 60.00 60.00°
Atoms (fractional coordinates):
Be 0.000 0.000 0.000
Be 0.250 0.250 0.250
Hg 0.750 0.750 0.750
Cl 0.500 0.500 0.500


[2]
# YBeHg2Cl

A crystal of YBeHg2Cl relaxed with PBEsol (SCAN, Alexandria via LeMat-Bulk).

E_form (uncorrected) in meV/atom: -261
Symmetry: P4/mmm, No. 123
Calculated volume in Å³ per cell: 105

Cell: 4.625 4.625 4.904 Å, 90.00 90.00 90.00°
Atoms (fractional coordinates):
Y 0.000 0.000 0.000
Be 0.500 0.500 0.500
Hg 0.000 0.500 0.500
Hg 0.500 0.000 0.500
Cl 0.500 0.500 0.000


[3]
# BeICl3

A crystal of BeICl3 relaxed with PBEsol (SCAN, Alexandria via LeMat-Bulk).

E_form (uncorrected) in meV/atom: 597
Symmetry: Pm-3m, No. 221
Calculated volume in Å³ per cell: 158

Cell: 5.401 5.401 5.401 Å, 90.00 90.00 90.00°
Atoms (fractional coordinates):
Be 0.000 0.000 0.000
I 0.500 0.500 0.500
Cl 0.000 0.500 0.500
Cl 0.500 0.000 0.500
Cl 0.500 0.500 0.000


[4]
# Be2ICl

A crystal of Be2ICl relaxed with PBEsol (SCAN, Alexandria via LeMat-Bulk).

E_form (uncorrected) in meV/atom: 510
Symmetry: I-42d, No. 122
Calculated volume in Å³ per cell: 142

Cell: 5.698 5.698 5.698 Å, 111.10 111.10 106.27°
Atoms (fractional coordinates):
Be 0.096 0.625 0.971
Be 0.375 0.346 0.471
Be 0.654 0.125 0.029
Be 0.875 0.904 0.529
I 0.250 0.750 0.500
I 0.500 0.500 0.000
Cl 0.000 0.000 0.000
Cl 0.750 0.250 0.500


[5]
# BeIN2Cl

A crystal of BeIN2Cl relaxed with PBEsol (SCAN, Alexandria via LeMat-Bulk).

E_form (uncorrected) in meV/atom: 1329
Symmetry: P4/mmm, No. 123
Calculated volume in Å³ per cell: 82

Cell: 3.725 3.725 5.934 Å, 90.00 90.00 90.00°
Atoms (fractional coordinates):
Be 0.000 0.000 0.000
I 0.000 0.000 0.500
N 0.000 0.500 0.000
N 0.500 0.000 0.000
Cl 0.500 0.500 0.500


[6]
# BeS2ICl

A crystal of BeS2ICl relaxed with PBEsol (SCAN, Alexandria via LeMat-Bulk).

E_form (uncorrected) in meV/atom: 152
Symmetry: P4/mmm, No. 123
Calculated volume in Å³ per cell: 88

Cell: 4.580 4.580 4.201 Å, 90.00 90.00 90.00°
Atoms (fractional coordinates):
Be 0.000 0.000 0.000
S 0.000 0.500 0.000
S 0.500 0.000 0.000
I 0.500 0.500 0.500
Cl 0.000 0.000 0.500


[7]
# BeSbI2Cl

A crystal of BeSbI2Cl relaxed with PBEsol (SCAN, Alexandria via LeMat-Bulk).

E_form (uncorrected) in meV/atom: 1154
Symmetry: P4/mmm, No. 123
Calculated volume in Å³ per cell: 165

Cell: 5.610 5.610 5.230 Å, 90.00 90.00 90.00°
Atoms (fractional coordinates):
Be 0.000 0.000 0.000
Sb 0.500 0.500 0.000
I 0.000 0.500 0.500
I 0.500 0.000 0.500
Cl 0.500 0.500 0.500


[8]
# BeIn3Cl

A crystal of BeIn3Cl relaxed with PBEsol (SCAN, Alexandria via LeMat-Bulk).

E_form (uncorrected) in meV/atom: 722
Symmetry: Pm-3m, No. 221
Calculated volume in Å³ per cell: 165

Cell: 5.487 5.487 5.487 Å, 90.00 90.00 90.00°
Atoms (fractional coordinates):
Be 0.000 0.000 0.000
In 0.000 0.500 0.500
In 0.500 0.000 0.500
In 0.500 0.500 0.000
Cl 0.500 0.500 0.500